Here is a geometry-optimized BaCoSeO structure from the Open Quantum Materials Database. Energies are from PBE with a Hubbard U.

abc: 6.2982 4.1760 13.3604
angles: 90.00 90.00 90.00
Last column: nearest neighbours and their distance in Å.
Sites, in units of the cell vectors:
O  0.5685  0.7500  0.7727  2 Co 1.96
O  0.0685  0.7500  0.7273  2 Co 1.96
O  0.4315  0.2500  0.2273  2 Co 1.96
O  0.9315  0.2500  0.2727  2 Co 1.96
Co  0.7156  0.2500  0.1672  2 O 1.96
Co  0.2156  0.2500  0.3328  2 O 1.96
Co  0.2844  0.7500  0.8328  2 O 1.96
Co  0.7844  0.7500  0.6672  2 O 1.96
Se  0.2512  0.7500  0.4340  2 Co 2.50
Se  0.7512  0.7500  0.0660  2 Co 2.50
Se  0.2488  0.2500  0.9340  2 Co 2.50
Se  0.7488  0.2500  0.5660  2 Co 2.50
Ba  0.2499  0.2500  0.6311  2 O 2.71
Ba  0.2501  0.7500  0.1311  2 O 2.71
Ba  0.7501  0.7500  0.3689  2 O 2.71
Ba  0.7499  0.2500  0.8689  2 O 2.71

Computed properties:
final energy: -5.359 eV per atom
ρ: 5.5 g cm⁻³